Record 1
# Ba2Ti2CuF14, relaxed, DFT GGA-PBEsol
data_Ba2Ti2CuF14
_chemical_formula_sum 'Ba4 Ti4 Cu2 F28'
_cell_length_a 7.477
_cell_length_b 7.477
_cell_length_c 14.960
_cell_angle_alpha 92.21
_cell_angle_beta 92.21
_cell_angle_gamma 40.66
_symmetry_space_group_name_H-M 'P 1'
_symmetry_Int_Tables_number 1
loop_
_symmetry_equiv_pos_as_xyz
'x,y,z'
loop_
_atom_site_label
_atom_site_type_symbol
_atom_site_fract_x
_atom_site_fract_y
_atom_site_fract_z
Ba1 Ba 0.133 0.236 0.116
Ba2 Ba 0.236 0.133 0.616
Ba3 Ba 0.764 0.867 0.384
Ba4 Ba 0.867 0.764 0.884
Ti1 Ti 0.104 0.133 0.370
Ti2 Ti 0.133 0.104 0.870
Ti3 Ti 0.867 0.896 0.130
Ti4 Ti 0.896 0.867 0.630
Cu1 Cu 0.500 0.500 0.000
Cu2 Cu 0.500 0.500 0.500
F1 F 0.005 0.351 0.781
F2 F 0.050 0.941 0.340
F3 F 0.059 0.950 0.160
F4 F 0.104 0.741 0.522
F5 F 0.160 0.577 0.058
F6 F 0.166 0.560 0.696
F7 F 0.170 0.316 0.426
F8 F 0.259 0.896 0.978
F9 F 0.316 0.170 0.926
F10 F 0.351 0.005 0.281
F11 F 0.371 0.492 0.895
F12 F 0.423 0.840 0.442
F13 F 0.440 0.834 0.804
F14 F 0.492 0.371 0.395
F15 F 0.508 0.629 0.605
F16 F 0.560 0.166 0.196
F17 F 0.577 0.160 0.558
F18 F 0.629 0.508 0.105
F19 F 0.649 0.995 0.719
F20 F 0.684 0.830 0.074
F21 F 0.741 0.104 0.022
F22 F 0.830 0.684 0.574
F23 F 0.834 0.440 0.304
F24 F 0.840 0.423 0.942
F25 F 0.896 0.259 0.478
F26 F 0.941 0.050 0.840
F27 F 0.950 0.059 0.660
F28 F 0.995 0.649 0.219
# E_tot ... -6.022 eV per atom


Record 2
# Ba2V2CuF12, relaxed, DFT GGA-PBEsol
data_Ba2V2CuF12
_chemical_formula_sum 'Ba2 V2 Cu1 F12'
_cell_length_a 5.347
_cell_length_b 6.854
_cell_length_c 7.402
_cell_angle_alpha 65.21
_cell_angle_beta 69.84
_cell_angle_gamma 74.28
_symmetry_space_group_name_H-M 'P 1'
_symmetry_Int_Tables_number 1
loop_
_symmetry_equiv_pos_as_xyz
'x,y,z'
loop_
_atom_site_label
_atom_site_type_symbol
_atom_site_fract_x
_atom_site_fract_y
_atom_site_fract_z
Ba1 Ba 0.000 0.000 0.000
Ba2 Ba 0.405 0.591 0.536
V1 V 0.182 0.300 0.275
V2 V 0.745 0.575 0.935
Cu1 Cu 0.633 0.028 0.594
F1 F 0.074 0.410 0.018
F2 F 0.160 0.587 0.259
F3 F 0.221 0.020 0.276
F4 F 0.259 0.198 0.530
F5 F 0.438 0.730 0.833
F6 F 0.498 0.149 0.807
F7 F 0.558 0.328 0.121
F8 F 0.663 0.708 0.129
F9 F 0.716 0.890 0.400
F10 F 0.815 0.305 0.408
F11 F 0.869 0.444 0.734
F12 F 0.949 0.806 0.745
# E_tot ... -6.023 eV per atom


Record 3
# Ba2V2ZnCuF14, relaxed, DFT GGA-PBEsol
data_Ba2V2ZnCuF14
_chemical_formula_sum 'Ba4 V4 Zn2 Cu2 F28'
_cell_length_a 7.430
_cell_length_b 7.430
_cell_length_c 14.478
_cell_angle_alpha 91.00
_cell_angle_beta 91.00
_cell_angle_gamma 41.01
_symmetry_space_group_name_H-M 'P 1'
_symmetry_Int_Tables_number 1
loop_
_symmetry_equiv_pos_as_xyz
'x,y,z'
loop_
_atom_site_label
_atom_site_type_symbol
_atom_site_fract_x
_atom_site_fract_y
_atom_site_fract_z
Ba1 Ba 0.112 0.255 0.122
Ba2 Ba 0.255 0.112 0.622
Ba3 Ba 0.745 0.888 0.378
Ba4 Ba 0.888 0.745 0.878
V1 V 0.112 0.132 0.375
V2 V 0.132 0.112 0.875
V3 V 0.868 0.888 0.125
V4 V 0.888 0.868 0.625
Zn1 Zn 0.454 0.546 0.250
Zn2 Zn 0.546 0.454 0.750
Cu1 Cu 0.500 0.500 0.000
Cu2 Cu 0.500 0.500 0.500
F1 F 0.024 0.632 0.223
F2 F 0.102 0.739 0.517
F3 F 0.108 0.889 0.337
F4 F 0.111 0.892 0.163
F5 F 0.146 0.573 0.047
F6 F 0.154 0.345 0.409
F7 F 0.181 0.585 0.708
F8 F 0.261 0.898 0.983
F9 F 0.345 0.154 0.909
F10 F 0.368 0.976 0.277
F11 F 0.382 0.518 0.871
F12 F 0.415 0.819 0.792
F13 F 0.427 0.854 0.453
F14 F 0.482 0.618 0.629
F15 F 0.518 0.382 0.371
F16 F 0.573 0.146 0.547
F17 F 0.585 0.181 0.208
F18 F 0.618 0.482 0.129
F19 F 0.632 0.024 0.723
F20 F 0.655 0.846 0.091
F21 F 0.739 0.102 0.017
F22 F 0.819 0.415 0.292
F23 F 0.846 0.655 0.591
F24 F 0.854 0.427 0.953
F25 F 0.889 0.108 0.837
F26 F 0.892 0.111 0.663
F27 F 0.898 0.261 0.483
F28 F 0.976 0.368 0.777
# E_tot ... -5.726 eV per atom


Record 4
# Ba2ZnCu3F14, relaxed, DFT GGA-PBEsol
data_Ba2ZnCu3F14
_chemical_formula_sum 'Ba4 Zn2 Cu6 F28'
_cell_length_a 7.254
_cell_length_b 7.254
_cell_length_c 14.275
_cell_angle_alpha 91.02
_cell_angle_beta 91.02
_cell_angle_gamma 41.77
_symmetry_space_group_name_H-M 'P 1'
_symmetry_Int_Tables_number 1
loop_
_symmetry_equiv_pos_as_xyz
'x,y,z'
loop_
_atom_site_label
_atom_site_type_symbol
_atom_site_fract_x
_atom_site_fract_y
_atom_site_fract_z
Ba1 Ba 0.141 0.245 0.120
Ba2 Ba 0.245 0.141 0.620
Ba3 Ba 0.755 0.859 0.380
Ba4 Ba 0.859 0.755 0.880
Zn1 Zn 0.443 0.557 0.250
Zn2 Zn 0.557 0.443 0.750
Cu1 Cu 0.110 0.120 0.373
Cu2 Cu 0.120 0.110 0.873
Cu3 Cu 0.500 0.500 0.000
Cu4 Cu 0.500 0.500 0.500
Cu5 Cu 0.880 0.890 0.127
Cu6 Cu 0.890 0.880 0.627
F1 F 0.043 0.625 0.224
F2 F 0.095 0.883 0.337
F3 F 0.114 0.733 0.515
F4 F 0.117 0.905 0.163
F5 F 0.180 0.580 0.044
F6 F 0.182 0.310 0.417
F7 F 0.186 0.582 0.709
F8 F 0.267 0.886 0.985
F9 F 0.310 0.182 0.917
F10 F 0.375 0.957 0.276
F11 F 0.380 0.513 0.877
F12 F 0.418 0.814 0.791
F13 F 0.420 0.820 0.456
F14 F 0.487 0.620 0.623
F15 F 0.513 0.380 0.377
F16 F 0.580 0.180 0.544
F17 F 0.582 0.186 0.209
F18 F 0.620 0.487 0.123
F19 F 0.625 0.043 0.724
F20 F 0.690 0.818 0.083
F21 F 0.733 0.114 0.015
F22 F 0.814 0.418 0.291
F23 F 0.818 0.690 0.583
F24 F 0.820 0.420 0.956
F25 F 0.883 0.095 0.837
F26 F 0.886 0.267 0.485
F27 F 0.905 0.117 0.663
F28 F 0.957 0.375 0.776
# E_tot ... -4.608 eV per atom


Record 5
# BaFe2Cu, relaxed, DFT GGA-PBEsol
data_BaFe2Cu
_chemical_formula_sum 'Ba1 Fe2 Cu1'
_cell_length_a 3.118
_cell_length_b 3.118
_cell_length_c 7.322
_cell_angle_alpha 90.00
_cell_angle_beta 90.00
_cell_angle_gamma 90.00
_symmetry_space_group_name_H-M 'P 1'
_symmetry_Int_Tables_number 1
loop_
_symmetry_equiv_pos_as_xyz
'x,y,z'
loop_
_atom_site_label
_atom_site_type_symbol
_atom_site_fract_x
_atom_site_fract_y
_atom_site_fract_z
Ba1 Ba 0.000 0.000 0.000
Fe1 Fe 0.000 0.000 0.512
Fe2 Fe 0.500 0.500 0.657
Cu1 Cu 0.500 0.500 0.328
# Calculated formation energy ... 562 meV/atom


Record 6
# Ba2FeCu, relaxed, DFT GGA-PBEsol
data_Ba2FeCu
_chemical_formula_sum 'Ba2 Fe1 Cu1'
_cell_length_a 3.789
_cell_length_b 3.789
_cell_length_c 7.849
_cell_angle_alpha 90.00
_cell_angle_beta 90.00
_cell_angle_gamma 90.00
_symmetry_space_group_name_H-M 'P 1'
_symmetry_Int_Tables_number 1
loop_
_symmetry_equiv_pos_as_xyz
'x,y,z'
loop_
_atom_site_label
_atom_site_type_symbol
_atom_site_fract_x
_atom_site_fract_y
_atom_site_fract_z
Ba1 Ba 0.000 0.000 0.249
Ba2 Ba 0.000 0.000 0.751
Fe1 Fe 0.500 0.500 0.500
Cu1 Cu 0.500 0.500 0.000
# Calculated formation energy ... 580 meV/atom


Record 7
# Ba2FeCu, relaxed, DFT GGA-PBEsol
data_Ba2FeCu
_chemical_formula_sum 'Ba2 Fe1 Cu1'
_cell_length_a 5.217
_cell_length_b 5.217
_cell_length_c 5.217
_cell_angle_alpha 60.00
_cell_angle_beta 60.00
_cell_angle_gamma 60.00
_symmetry_space_group_name_H-M 'P 1'
_symmetry_Int_Tables_number 1
loop_
_symmetry_equiv_pos_as_xyz
'x,y,z'
loop_
_atom_site_label
_atom_site_type_symbol
_atom_site_fract_x
_atom_site_fract_y
_atom_site_fract_z
Ba1 Ba 0.000 0.000 0.000
Ba2 Ba 0.250 0.250 0.250
Fe1 Fe 0.500 0.500 0.500
Cu1 Cu 0.750 0.750 0.750
# Calculated formation energy ... 745 meV/atom


Record 8
# BaFe3Cu, relaxed, DFT GGA-PBEsol
data_BaFe3Cu
_chemical_formula_sum 'Ba1 Fe3 Cu1'
_cell_length_a 4.751
_cell_length_b 4.751
_cell_length_c 4.751
_cell_angle_alpha 90.00
_cell_angle_beta 90.00
_cell_angle_gamma 90.00
_symmetry_space_group_name_H-M 'P 1'
_symmetry_Int_Tables_number 1
loop_
_symmetry_equiv_pos_as_xyz
'x,y,z'
loop_
_atom_site_label
_atom_site_type_symbol
_atom_site_fract_x
_atom_site_fract_y
_atom_site_fract_z
Ba1 Ba 0.000 0.000 0.000
Fe1 Fe 0.000 0.000 0.500
Fe2 Fe 0.000 0.500 0.000
Fe3 Fe 0.500 0.000 0.000
Cu1 Cu 0.500 0.500 0.500
# Calculated formation energy ... 2611 meV/atom


What did the fourth record say?
# Ba2ZnCu3F14, relaxed, DFT GGA-PBEsol
data_Ba2ZnCu3F14
_chemical_formula_sum 'Ba4 Zn2 Cu6 F28'
_cell_length_a 7.254
_cell_length_b 7.254
_cell_length_c 14.275
_cell_angle_alpha 91.02
_cell_angle_beta 91.02
_cell_angle_gamma 41.77
_symmetry_space_group_name_H-M 'P 1'
_symmetry_Int_Tables_number 1
loop_
_symmetry_equiv_pos_as_xyz
'x,y,z'
loop_
_atom_site_label
_atom_site_type_symbol
_atom_site_fract_x
_atom_site_fract_y
_atom_site_fract_z
Ba1 Ba 0.141 0.245 0.120
Ba2 Ba 0.245 0.141 0.620
Ba3 Ba 0.755 0.859 0.380
Ba4 Ba 0.859 0.755 0.880
Zn1 Zn 0.443 0.557 0.250
Zn2 Zn 0.557 0.443 0.750
Cu1 Cu 0.110 0.120 0.373
Cu2 Cu 0.120 0.110 0.873
Cu3 Cu 0.500 0.500 0.000
Cu4 Cu 0.500 0.500 0.500
Cu5 Cu 0.880 0.890 0.127
Cu6 Cu 0.890 0.880 0.627
F1 F 0.043 0.625 0.224
F2 F 0.095 0.883 0.337
F3 F 0.114 0.733 0.515
F4 F 0.117 0.905 0.163
F5 F 0.180 0.580 0.044
F6 F 0.182 0.310 0.417
F7 F 0.186 0.582 0.709
F8 F 0.267 0.886 0.985
F9 F 0.310 0.182 0.917
F10 F 0.375 0.957 0.276
F11 F 0.380 0.513 0.877
F12 F 0.418 0.814 0.791
F13 F 0.420 0.820 0.456
F14 F 0.487 0.620 0.623
F15 F 0.513 0.380 0.377
F16 F 0.580 0.180 0.544
F17 F 0.582 0.186 0.209
F18 F 0.620 0.487 0.123
F19 F 0.625 0.043 0.724
F20 F 0.690 0.818 0.083
F21 F 0.733 0.114 0.015
F22 F 0.814 0.418 0.291
F23 F 0.818 0.690 0.583
F24 F 0.820 0.420 0.956
F25 F 0.883 0.095 0.837
F26 F 0.886 0.267 0.485
F27 F 0.905 0.117 0.663
F28 F 0.957 0.375 0.776
# E_tot ... -4.608 eV per atom